The following is a PBE-GGA calculation of a relaxed Cs3Ge4Au crystal, from the Alexandria database.

```
data_Cs3Ge4Au
_symmetry_space_group_name_H-M 'P m m n'
_symmetry_Int_Tables_number 59
_cell_length_a 7.296
_cell_length_b 13.297
_cell_length_c 6.245
_cell_angle_alpha 90.00
_cell_angle_beta 90.00
_cell_angle_gamma 90.00
loop_
_symmetry_equiv_pos_as_xyz
'x,y,z'
'-x,-y,-z'
'-x+1/2,-y+1/2,z'
'x+1/2,y+1/2,-z'
'x+1/2,-y,-z'
'-x+1/2,y,z'
'-x,y+1/2,-z'
'x,-y+1/2,z'
loop_
_atom_site_label
_atom_site_fract_x
_atom_site_fract_y
_atom_site_fract_z
Cs1 0.250 0.015 0.161
Cs2 0.250 0.250 0.570
Ge1 0.061 0.750 0.937
Ge2 0.250 0.645 0.667
Au1 0.250 0.750 0.304
```

Output
formation energy from the elements: -0.293 eV per atom
calculated volume: 37.9 Å³/atom
crystal system: orthorhombic

***

The following is a PBE-GGA calculation of a relaxed Li2In2As crystal, from the Alexandria database.

```
data_Li2In2As
_symmetry_space_group_name_H-M 'P 4/m b m'
_symmetry_Int_Tables_number 127
_symmetry_space_group_name_Hall '-P 4 2ab'
_cell_length_a 7.836
_cell_length_b 7.836
_cell_length_c 3.337
_cell_angle_alpha 90.00
_cell_angle_beta 90.00
_cell_angle_gamma 90.00
loop_
_atom_site_label
_atom_site_fract_x
_atom_site_fract_y
_atom_site_fract_z
Li1 0.164 0.336 0.000
In1 0.137 0.637 0.500
As1 0.000 0.000 0.500
```

Output
ΔE to the lowest computed polymorph: 123 meV/atom
formation energy from the elements: -0.094 eV per atom
calculated volume: 20.5 Å³/atom
crystal system: tetragonal